DFT (GGA-PBE) results for a geometry-optimized MnBe3Te structure.

- Mass density: 3.73 g/cm³
- Energy relative to the lowest polymorph listed for this composition: 1009 meV per atom
- ΔE_f (raw): 1.970 eV per atom

a = 4.535 Å, b = 4.535 Å, c = 4.535 Å
α = 90.00°, β = 90.00°, γ = 90.00°
Element x y z (fractional)
Be 0.000 0.500 0.000
Be 0.000 0.000 0.500
Be 0.500 0.000 0.000
Te 0.000 0.000 0.000
Mn 0.500 0.500 0.500